## LiLaPr2Te5 (GGA-PBE)

Data for a geometry-optimized LiLaPr2Te5 structure.

DFT total energy: -4.931 eV per atom
Calculated volume: 579 Å³ per cell

Cell lengths 9.7074, 9.7074, 13.6598 Å; angles 90.00, 90.00, 153.28 degrees
Closest atoms and distances in Å follow each position.
Atoms (fractional coordinates):
Li 0.0109 0.9891 0.5000  4 Te 2.66-2.81
Li 0.9891 0.0109 0.0000  4 Te 2.66-2.81
La 0.3071 0.6929 0.0153  6 Te 3.06-3.21
La 0.6929 0.3071 0.5153  6 Te 3.06-3.21
Pr 0.3772 0.6228 0.3134  8 Te 3.28-3.54
Pr 0.3887 0.6113 0.7005  8 Te 3.23-3.45
Pr 0.6113 0.3887 0.2005  8 Te 3.23-3.45
Pr 0.6228 0.3772 0.8134  8 Te 3.28-3.54
Te 0.0034 0.9966 0.3029  1 Li 2.70
Te 0.1376 0.8624 0.0124  1 Li 2.81
Te 0.1930 0.8070 0.3475  2 La 3.21, 3 Pr 3.38-3.51
Te 0.2096 0.7904 0.6800  2 La 3.19, 3 Pr 3.32-3.39
Te 0.4584 0.5416 0.0950  2 Li 2.66
Te 0.5416 0.4584 0.5950  2 Li 2.66
Te 0.7904 0.2096 0.1800  2 La 3.19, 3 Pr 3.32-3.39
Te 0.8070 0.1930 0.8475  2 La 3.21, 3 Pr 3.38-3.51
Te 0.8624 0.1376 0.5124  1 Li 2.81
Te 0.9966 0.0034 0.8029  1 Li 2.70